No. 1
The following is a DFT calculation (PBE-GGA) of a geometry-optimized SrTi2Br structure.

Cell: 10.488 10.488 10.488 Å, 154.30 154.30 36.67°
Positions (direct):
Sr1 0.375 0.625 0.750
Sr2 0.625 0.375 0.250
Ti1 0.000 0.000 0.000
Ti2 0.000 0.000 0.500
Ti3 0.000 0.500 0.000
Ti4 0.500 0.000 0.500
Br1 0.125 0.875 0.250
Br2 0.875 0.125 0.750

Calculated values
distance to the lowest polymorph of the same formula = 0 meV per atom
V = 27.09 A^3/atom
E_tot = -4.437 eV per atom



No. 2
The following is a DFT calculation (PBE-GGA) of a geometry-optimized SrTiTlBr6 structure.

Cell: 7.475 7.475 13.925 Å, 90.00 90.00 120.00°
Positions (direct):
Sr1 0.333 0.667 0.250
Sr2 0.667 0.333 0.750
Ti1 0.333 0.667 0.750
Ti2 0.667 0.333 0.250
Tl1 0.000 0.000 0.000
Tl2 0.000 0.000 0.500
Br1 0.046 0.389 0.640
Br2 0.046 0.657 0.860
Br3 0.343 0.389 0.860
Br4 0.343 0.954 0.640
Br5 0.389 0.046 0.140
Br6 0.389 0.343 0.360
Br7 0.611 0.657 0.640
Br8 0.611 0.954 0.860
Br9 0.657 0.046 0.360
Br10 0.657 0.611 0.140
Br11 0.954 0.343 0.140
Br12 0.954 0.611 0.360

Calculated values
V = 37.43 A^3/atom
E_tot = -3.849 eV per atom